Record 1
LaNb2Au2 | PBE-GGA | relaxed Values from VASP.

Cell and atoms, written as Quantum ESPRESSO input:
```
&SYSTEM
  ibrav = 0, nat = 10, ntyp = 3
/
ATOMIC_SPECIES
La 138.91 La.upf
Nb 92.91 Nb.upf
Au 196.97 Au.upf
ATOMIC_POSITIONS crystal
La 0.000 0.000 0.000
La 0.500 0.500 0.500
Nb 0.000 0.500 0.250
Nb 0.000 0.500 0.750
Nb 0.500 0.000 0.250
Nb 0.500 0.000 0.750
Au 0.000 0.000 0.400
Au 0.000 0.000 0.600
Au 0.500 0.500 0.100
Au 0.500 0.500 0.900
CELL_PARAMETERS angstrom
3.941 0.000 0.000
0.000 3.941 0.000
0.000 0.000 14.304
```

DFT formation energy   -182 meV per atom
Space group   No. 139
Crystal system   tetragonal
V   22.21 Å³ per atom



Record 2
La4NbAu2 | PBE-GGA | relaxed Values from VASP.

Cell and atoms, written as Quantum ESPRESSO input:
```
&SYSTEM
  ibrav = 0, nat = 14, ntyp = 3
/
ATOMIC_SPECIES
La 138.91 La.upf
Nb 92.91 Nb.upf
Au 196.97 Au.upf
ATOMIC_POSITIONS crystal
La 0.000 0.000 0.186
La 0.000 0.000 0.814
La 0.000 0.500 0.000
La 0.000 0.500 0.500
La 0.500 0.000 0.000
La 0.500 0.000 0.500
La 0.500 0.500 0.314
La 0.500 0.500 0.686
Nb 0.000 0.000 0.000
Nb 0.500 0.500 0.500
Au 0.000 0.000 0.378
Au 0.000 0.000 0.622
Au 0.500 0.500 0.122
Au 0.500 0.500 0.878
CELL_PARAMETERS angstrom
5.427 0.000 0.000
0.000 5.427 0.000
0.000 0.000 15.501
```

DFT formation energy   0 meV per atom
Space group   No. 139
Crystal system   tetragonal
V   32.61 Å³ per atom



Record 3
La3NbAu | PBE-GGA | relaxed Values from VASP.

Cell and atoms, written as Quantum ESPRESSO input:
```
&SYSTEM
  ibrav = 0, nat = 5, ntyp = 3
/
ATOMIC_SPECIES
La 138.91 La.upf
Nb 92.91 Nb.upf
Au 196.97 Au.upf
ATOMIC_POSITIONS crystal
La 0.000 0.000 0.500
La 0.000 0.500 0.000
La 0.500 0.000 0.000
Nb 0.000 0.000 0.000
Au 0.500 0.500 0.500
CELL_PARAMETERS angstrom
5.517 0.000 0.000
0.000 5.517 0.000
0.000 0.000 5.517
```

Energy above the lowest structure with this stoichiometry   0.000 eV/atom
DFT formation energy   260 meV per atom
Space group   No. 221
Crystal system   cubic
V   33.59 Å³ per atom



Record 4
LaNb2Au | PBE-GGA | relaxed Values from VASP.

Cell and atoms, written as Quantum ESPRESSO input:
```
&SYSTEM
  ibrav = 0, nat = 16, ntyp = 3
/
ATOMIC_SPECIES
La 138.91 La.upf
Nb 92.91 Nb.upf
Au 196.97 Au.upf
ATOMIC_POSITIONS crystal
La 0.000 0.000 0.000
La 0.000 0.500 0.500
La 0.500 0.000 0.500
La 0.500 0.500 0.000
Nb 0.250 0.250 0.250
Nb 0.250 0.250 0.750
Nb 0.250 0.750 0.250
Nb 0.250 0.750 0.750
Nb 0.750 0.250 0.250
Nb 0.750 0.250 0.750
Nb 0.750 0.750 0.250
Nb 0.750 0.750 0.750
Au 0.000 0.000 0.500
Au 0.000 0.500 0.000
Au 0.500 0.000 0.000
Au 0.500 0.500 0.500
CELL_PARAMETERS angstrom
6.836 0.000 0.000
0.000 6.836 0.000
0.000 0.000 6.836
```

Energy above the lowest structure with this stoichiometry   0.000 eV/atom
DFT formation energy   318 meV per atom
Space group   No. 225
Crystal system   cubic
V   19.97 Å³ per atom



Record 5
LaNb2NiAu | PBE-GGA | relaxed Values from VASP.

Cell and atoms, written as Quantum ESPRESSO input:
```
&SYSTEM
  ibrav = 0, nat = 5, ntyp = 4
/
ATOMIC_SPECIES
La 138.91 La.upf
Nb 92.91 Nb.upf
Ni 58.69 Ni.upf
Au 196.97 Au.upf
ATOMIC_POSITIONS crystal
La 0.000 0.000 0.000
Nb 0.000 0.500 0.500
Nb 0.500 0.000 0.500
Ni 0.500 0.500 0.000
Au 0.000 0.000 0.500
CELL_PARAMETERS angstrom
5.003 0.000 0.000
0.000 5.003 0.000
0.000 0.000 5.694
```

DFT formation energy   1368 meV per atom
Space group   No. 123
Crystal system   tetragonal
V   28.51 Å³ per atom



Record 6
La2NbPAu | PBE-GGA | relaxed Values from VASP.

Cell and atoms, written as Quantum ESPRESSO input:
```
&SYSTEM
  ibrav = 0, nat = 5, ntyp = 4
/
ATOMIC_SPECIES
La 138.91 La.upf
Nb 92.91 Nb.upf
P 30.97 P.upf
Au 196.97 Au.upf
ATOMIC_POSITIONS crystal
La 0.000 0.500 0.000
La 0.500 0.000 0.000
Nb 0.000 0.000 0.500
P 0.000 0.000 0.000
Au 0.500 0.500 0.500
CELL_PARAMETERS angstrom
5.591 0.000 0.000
0.000 5.591 0.000
0.000 0.000 4.638
```

DFT formation energy   -316 meV per atom
Space group   No. 123
Crystal system   tetragonal
V   29.00 Å³ per atom